The following is a PBE-GGA calculation of a geometry-optimized ScGa5Tc2 structure, from Alexandria.

```
data_ScGa5Tc2
_cell_length_a 2.914
_cell_length_b 8.553
_cell_length_c 10.525
_cell_angle_alpha 90.00
_cell_angle_beta 90.00
_cell_angle_gamma 90.00
_symmetry_space_group_name_H-M 'I m m m'
_symmetry_Int_Tables_number 71
_symmetry_space_group_name_Hall '-I 2 2'
loop_
_atom_site_label
_atom_site_type_symbol
_atom_site_fract_x
_atom_site_fract_y
_atom_site_fract_z
Sc1 Sc 0.000 0.000 0.000
Ga1 Ga 0.000 0.238 0.365
Ga2 Ga 0.000 0.500 0.000
Tc1 Tc 0.000 0.500 0.236
```

Values from the calculation:
The calculation puts the total moment at 0.00 μB/cell. For the formation enthalpy at 0 K, the calculation gives -1.43 eV/f.u.

The following is a PBE-GGA calculation of a geometry-optimized Sc2Ga3Tc structure, from Alexandria.

```
data_Sc2Ga3Tc
_cell_length_a 5.2921
_cell_length_b 5.2921
_cell_length_c 12.7933
_cell_angle_alpha 90.00
_cell_angle_beta 90.00
_cell_angle_gamma 120.00
_symmetry_space_group_name_H-M 'R -3 m'
_symmetry_Int_Tables_number 166
_symmetry_space_group_name_Hall '-R 3 2"'
loop_
_atom_site_label
_atom_site_type_symbol
_atom_site_fract_x
_atom_site_fract_y
_atom_site_fract_z
Sc1 Sc 0.0000 0.0000 0.1291
Ga1 Ga 0.0000 0.5000 0.0000
Tc1 Tc 0.0000 0.0000 0.5000
```

Values from the calculation:
The calculation puts the total moment at 0.00 μB/cell. For the formation enthalpy at 0 K, the calculation gives -3.29 eV/f.u.